# 1
First-principles (PBE-GGA) data for crystalline Sm11In6Ge4 at its relaxed geometry, as listed in Alexandria.

## Properties
Space-group type: No. 139
Density: 7.6 Mg/m³
Formation energy from the elements: -13.725 eV per formula unit
Total energy: -4.787 eV/atom

Cell: 11.7549 11.7549 11.7549 Å, 119.78 119.78 90.37°
Closest atoms and distances in Å follow each position.
Element x y z (fractional)
1 In 0.0358 0.6224 0.0000  2 In 2.99-3.12, 2 Sm 3.16
2 In 0.8718 0.1282 0.0000  4 In 3.02-3.12
3 In 0.6224 0.0358 0.0000  2 In 2.99-3.12, 2 Sm 3.16
4 In 0.1282 0.1282 0.2564  4 In 3.02-3.12
5 In 0.1282 0.8718 0.0000  4 In 3.02-3.12
6 In 0.8718 0.8718 0.7436  4 In 3.02-3.12
7 In 0.0358 0.0358 0.4134  2 In 2.99-3.12, 2 Sm 3.16
8 In 0.9642 0.9642 0.5866  2 In 2.99-3.12, 2 Sm 3.16
9 In 0.6224 0.6224 0.5866  2 In 2.99-3.12, 2 Sm 3.16
10 In 0.3776 0.3776 0.4134  2 In 2.99-3.12, 2 Sm 3.16
11 In 0.9642 0.3776 0.0000  2 In 2.99-3.12, 2 Sm 3.16
12 In 0.3776 0.9642 0.0000  2 In 2.99-3.12, 2 Sm 3.16
13 Sm 0.0998 0.4453 0.3455  3 Ge 3.06-3.08, 4 In 3.16-3.40, 1 Sm 3.31
14 Sm 0.9002 0.2456 0.3455  3 Ge 3.06-3.08, 4 In 3.16-3.40, 1 Sm 3.31
15 Sm 0.4367 0.6865 0.7502  3 Ge 3.13-3.29, 4 In 3.43-3.51
16 Sm 0.6865 0.9363 0.2498  3 Ge 3.13-3.29, 4 In 3.43-3.51
17 Sm 0.3135 0.5633 0.2498  3 Ge 3.13-3.29, 4 In 3.43-3.51
18 Sm 0.6865 0.4367 0.7502  3 Ge 3.13-3.29, 4 In 3.43-3.51
19 Sm 0.0637 0.3135 0.7502  3 Ge 3.13-3.29, 4 In 3.43-3.51
20 Sm 0.0998 0.7544 0.6545  3 Ge 3.06-3.08, 4 In 3.16-3.40, 1 Sm 3.31
21 Sm 0.5633 0.3135 0.2498  3 Ge 3.13-3.29, 4 In 3.43-3.51
22 Sm 0.8363 0.8363 0.0000  8 In 3.45, 1 Ge 3.59, 4 Sm 3.85
23 Sm 0.7544 0.0998 0.6545  3 Ge 3.06-3.08, 4 In 3.16-3.40, 1 Sm 3.31
24 Sm 0.4453 0.0998 0.3455  3 Ge 3.06-3.08, 4 In 3.16-3.40, 1 Sm 3.31
25 Sm 0.5547 0.9002 0.6545  3 Ge 3.06-3.08, 4 In 3.16-3.40, 1 Sm 3.31
26 Sm 0.3135 0.0637 0.7502  3 Ge 3.13-3.29, 4 In 3.43-3.51
27 Sm 0.3318 0.6682 0.0000  2 Ge 2.89
28 Sm 0.3318 0.3318 0.6636  2 Ge 2.89
29 Sm 0.9363 0.6865 0.2498  3 Ge 3.13-3.29, 4 In 3.43-3.51
30 Sm 0.2456 0.9002 0.3455  3 Ge 3.06-3.08, 4 In 3.16-3.40, 1 Sm 3.31
31 Sm 0.6682 0.6682 0.3364  2 Ge 2.89
32 Sm 0.6682 0.3318 0.0000  2 Ge 2.89
33 Sm 0.1637 0.1637 0.0000  8 In 3.45, 1 Ge 3.59, 4 Sm 3.85
34 Sm 0.9002 0.5547 0.6545  3 Ge 3.06-3.08, 4 In 3.16-3.40, 1 Sm 3.31
35 Ge 0.6196 0.6196 0.0000  8 Sm 3.15-3.43
36 Ge 0.8461 0.5000 0.3461  6 Sm 2.89-3.06
37 Ge 0.2500 0.7500 0.5000  8 Sm 3.08-3.13
38 Ge 0.1539 0.5000 0.6539  6 Sm 2.89-3.06
39 Ge 0.3804 0.3804 0.0000  8 Sm 3.15-3.43
40 Ge 0.5000 0.1539 0.6539  6 Sm 2.89-3.06
41 Ge 0.5000 0.8461 0.3461  6 Sm 2.89-3.06
42 Ge 0.7500 0.2500 0.5000  8 Sm 3.08-3.13



# 2
First-principles (PBE-GGA) data for crystalline LiYSi2Pt at its relaxed geometry, as listed in Alexandria.

## Properties
Energy relative to the elements, uncorrected: -87.5 kJ per mole of atoms
Space-group type: No. 119
Density: 6.9 Mg/m³
Total energy: -5.960 eV/atom

Cell: 4.0022 4.0022 5.9388 Å, 109.69 109.69 90.00°
Closest atoms and distances in Å follow each position.
Element x y z (fractional)
1 Si 0.6122 0.6122 0.2244  1 Si 2.34, 2 Pt 2.46, 2 Li 2.46
2 Si 0.3878 0.3878 0.7756  1 Si 2.34, 2 Li 2.46, 2 Pt 2.46
3 Pt 0.2500 0.7500 0.5000  4 Si 2.46
4 Y 0.0000 0.0000 0.0000  8 Si 3.06, 4 Pt 3.29, 4 Li 3.29
5 Li 0.7500 0.2500 0.5000  4 Si 2.46



# 3
First-principles (PBE-GGA) data for crystalline Pa2Si3Pt5 at its relaxed geometry, as listed in Alexandria.

## Properties
Energy relative to the elements, uncorrected: -89.6 kJ per mole of atoms
Space-group type: No. 72
E above lowest polymorph: 0.0000 eV per atom
Density: 14.2 Mg/m³
Total energy: -7.476 eV/atom

Cell: 5.8236 8.4718 8.4718 Å, 70.18 69.90 69.90°
Closest atoms and distances in Å follow each position.
Element x y z (fractional)
1 Pt 0.6218 0.7578 0.9987  3 Si 2.32-2.42
2 Pt 0.8782 0.0013 0.2422  3 Si 2.32-2.42
3 Pt 0.0281 0.7219 0.7219  2 Si 2.43, 2 Pt 2.71
4 Pt 0.2500 0.5000 0.5000  4 Si 2.46
5 Pt 0.4719 0.2781 0.2781  2 Si 2.43, 2 Pt 2.71
6 Pt 0.5281 0.7219 0.7219  2 Si 2.43, 2 Pt 2.71
7 Pt 0.1218 0.9987 0.7578  3 Si 2.32-2.42
8 Pt 0.3782 0.2422 0.0013  3 Si 2.32-2.42
9 Pt 0.9719 0.2781 0.2781  2 Si 2.43, 2 Pt 2.71
10 Pt 0.7500 0.5000 0.5000  4 Si 2.46
11 Pa 0.1345 0.6316 0.0995  11 Pt 3.12-3.46, 6 Si 3.17-3.34
12 Pa 0.8655 0.3684 0.9005  11 Pt 3.12-3.46, 6 Si 3.17-3.34
13 Pa 0.3655 0.9005 0.3684  11 Pt 3.12-3.46, 6 Si 3.17-3.34
14 Pa 0.6345 0.0995 0.6316  11 Pt 3.12-3.46, 6 Si 3.17-3.34
15 Si 0.8868 0.7547 0.4717  5 Pt 2.32-2.46
16 Si 0.7500 0.0000 0.0000  4 Pt 2.42
17 Si 0.1132 0.2453 0.5283  5 Pt 2.32-2.46
18 Si 0.3868 0.4717 0.7547  5 Pt 2.32-2.46
19 Si 0.6132 0.5283 0.2453  5 Pt 2.32-2.46
20 Si 0.2500 0.0000 0.0000  4 Pt 2.42



# 4
First-principles (PBE-GGA) data for crystalline Hf5Sn4H3 at its relaxed geometry, as listed in Alexandria.

## Properties
Space-group type: No. 12
Density: 9.9 Mg/m³
Total energy: -6.429 eV/atom

Cell: 3.7406 7.8475 8.3467 Å, 95.82 77.05 76.21°
Closest atoms and distances in Å follow each position.
Element x y z (fractional)
1 Sn 0.0833 0.7619 0.0714  4 Hf 2.92-3.04, 2 Sn 3.00-3.04, 3 H 3.17-3.18
2 Sn 0.2002 0.8711 0.7284  6 Hf 2.95-3.12, 2 Sn 3.00-3.04, 1 H 3.01
3 Sn 0.7998 0.1289 0.2716  6 Hf 2.95-3.12, 2 Sn 3.00-3.04, 1 H 3.01
4 Sn 0.9167 0.2381 0.9286  4 Hf 2.92-3.04, 2 Sn 3.00-3.04, 3 H 3.17-3.18
5 H 0.3906 0.4785 0.7403  3 Hf 1.99-2.05
6 H 0.0000 0.5000 0.5000  2 Hf 1.87
7 H 0.6094 0.5215 0.2597  3 Hf 1.99-2.05
8 Hf 0.5000 0.5000 0.5000  4 H 1.87-1.99
9 Hf 0.1900 0.4239 0.1962  2 H 2.05
10 Hf 0.8100 0.5761 0.8038  2 H 2.05
11 Hf 0.1308 0.1827 0.5558  1 H 2.53
12 Hf 0.8692 0.8173 0.4442  1 H 2.53



# 5
First-principles (PBE-GGA) data for crystalline BeCr2 at its relaxed geometry, as listed in Alexandria.

## Properties
Space-group type: No. 62
Density: 5.9 Mg/m³
Formation energy from the elements: 0.174 eV per formula unit
Total energy: -7.600 eV/atom

Cell: 3.8744 4.7511 6.8540 Å, 90.00 90.00 90.00°
Closest atoms and distances in Å follow each position.
Element x y z (fractional)
1 Cr 0.2500 0.0159 0.7346  5 Cr 2.37-2.39, 6 Be 2.46-2.64
2 Cr 0.2500 0.6846 0.0933  5 Be 2.29-2.40, 3 Cr 2.37-2.39
3 Cr 0.2500 0.5159 0.7654  5 Cr 2.37-2.39, 6 Be 2.46-2.64
4 Cr 0.7500 0.8154 0.5933  5 Be 2.29-2.40, 3 Cr 2.37-2.39
5 Cr 0.7500 0.3154 0.9067  5 Be 2.29-2.40, 3 Cr 2.37-2.39
6 Cr 0.7500 0.9841 0.2654  5 Cr 2.37-2.39, 6 Be 2.46-2.64
7 Cr 0.2500 0.1846 0.4067  5 Be 2.29-2.40, 3 Cr 2.37-2.39
8 Cr 0.7500 0.4841 0.2346  5 Cr 2.37-2.39, 6 Be 2.46-2.64
9 Be 0.7500 0.8115 0.9273  8 Cr 2.29-2.54
10 Be 0.2500 0.6885 0.4273  8 Cr 2.29-2.54
11 Be 0.2500 0.1885 0.0727  8 Cr 2.29-2.54
12 Be 0.7500 0.3115 0.5727  8 Cr 2.29-2.54



# 6
First-principles (PBE-GGA) data for crystalline NaZn2ReBi at its relaxed geometry, as listed in Alexandria.

## Properties
Space-group type: No. 123
Density: 6.9 Mg/m³
Formation energy from the elements: 8.265 eV per formula unit
Total energy: -2.386 eV/atom

Cell: 4.8394 5.6538 4.8394 Å, 90.00 90.00 90.00°
Closest atoms and distances in Å follow each position.
Element x y z (fractional)
1 Zn 0.0000 0.0000 0.5000  2 Na 2.42
2 Zn 0.5000 0.0000 0.0000  2 Na 2.42
3 Bi 0.0000 0.5000 0.0000  2 Na 2.83
4 Re 0.5000 0.5000 0.5000  4 Bi 3.42, 8 Zn 3.72
5 Na 0.0000 0.0000 0.0000  4 Zn 2.42



# 7
First-principles (PBE-GGA) data for crystalline Tb4Os6O19 at its relaxed geometry, as listed in Alexandria.

## Properties
Energy relative to the elements, uncorrected: -173.7 kJ per mole of atoms
Space-group type: No. 197
Density: 9.4 Mg/m³
Total energy: -8.011 eV/atom

Cell: 7.8036 7.8036 7.8036 Å, 109.47 109.47 109.47°
Closest atoms and distances in Å follow each position.
Element x y z (fractional)
1 O 0.3799 0.6746 0.7311  2 Os 1.95-1.98
2 O 0.2946 0.6201 0.3512  2 Os 1.95-1.98
3 O 0.3167 0.0000 0.3167  2 Os 2.07
4 O 0.7311 0.3799 0.6746  2 Os 1.95-1.98
5 O 0.0000 0.0000 0.0000  4 Tb 2.31
6 O 0.0000 0.3167 0.3167  2 Os 2.07
7 O 0.3167 0.3167 0.0000  2 Os 2.07
8 O 0.3254 0.7054 0.0566  2 Os 1.95-1.98
9 O 0.6746 0.7311 0.3799  2 Os 1.95-1.98
10 O 0.0566 0.3254 0.7054  2 Os 1.95-1.98
11 O 0.7054 0.0566 0.3254  2 Os 1.95-1.98
12 O 0.0000 0.6833 0.6833  2 Os 2.07
13 O 0.2689 0.9434 0.6488  2 Os 1.95-1.98
14 O 0.6201 0.3512 0.2946  2 Os 1.95-1.98
15 O 0.6833 0.6833 0.0000  2 Os 2.07
16 O 0.6488 0.2689 0.9434  2 Os 1.95-1.98
17 O 0.6833 0.0000 0.6833  2 Os 2.07
18 O 0.9434 0.6488 0.2689  2 Os 1.95-1.98
19 O 0.3512 0.2946 0.6201  2 Os 1.95-1.98
20 Os 0.8614 0.3614 0.5000  6 O 1.95-2.07
21 Os 0.1386 0.6386 0.5000  6 O 1.95-2.07
22 Os 0.6386 0.5000 0.1386  6 O 1.95-2.07
23 Os 0.5000 0.8614 0.3614  6 O 1.95-2.07
24 Os 0.3614 0.5000 0.8614  6 O 1.95-2.07
25 Os 0.5000 0.1386 0.6386  6 O 1.95-2.07
26 Tb 0.0000 0.7045 0.0000  7 O 2.31-2.43
27 Tb 0.0000 0.0000 0.7045  7 O 2.31-2.43
28 Tb 0.7045 0.0000 0.0000  7 O 2.31-2.43
29 Tb 0.2955 0.2955 0.2955  7 O 2.31-2.43



# 8
First-principles (PBE-GGA) data for crystalline HoSbAu4 at its relaxed geometry, as listed in Alexandria.

## Properties
Energy relative to the elements, uncorrected: -37.4 kJ per mole of atoms
Space-group type: No. 216
Density: 14.0 Mg/m³
Total energy: -4.023 eV/atom

Cell: 5.6480 5.6480 5.6480 Å, 60.00 60.00 60.00°
Closest atoms and distances in Å follow each position.
Element x y z (fractional)
1 Au 0.6248 0.6248 0.1256  6 Au 2.82-2.83
2 Au 0.6248 0.6248 0.6248  6 Au 2.82-2.83
3 Au 0.1256 0.6248 0.6248  6 Au 2.82-2.83
4 Au 0.6248 0.1256 0.6248  6 Au 2.82-2.83
5 Ho 0.2500 0.2500 0.2500  12 Au 3.31, 4 Sb 3.46
6 Sb 0.0000 0.0000 0.0000  12 Au 3.31, 4 Ho 3.46



# 9
First-principles (PBE-GGA) data for crystalline Zr6Sn2H at its relaxed geometry, as listed in Alexandria.

## Properties
Space-group type: No. 136
E above lowest polymorph: 0.5989 eV per atom
Density: 6.0 Mg/m³
Total energy: -6.773 eV/atom

Cell: 5.7780 5.7780 13.1301 Å, 90.00 90.00 90.00°
Closest atoms and distances in Å follow each position.
Element x y z (fractional)
1 Sn 0.0000 0.0000 0.3075  6 Zr 2.80-3.02
2 Sn 0.5000 0.5000 0.8075  6 Zr 2.80-3.02
3 Sn 0.5000 0.5000 0.1925  6 Zr 2.80-3.02
4 Sn 0.0000 0.0000 0.6925  6 Zr 2.80-3.02
5 H 0.5000 0.5000 0.5000  4 Zr 2.12
6 H 0.0000 0.0000 0.0000  4 Zr 2.12
7 Zr 0.6804 0.6804 0.3839  1 H 2.12
8 Zr 0.2022 0.7978 0.5000  1 H 2.43
9 Zr 0.8196 0.1804 0.8839  1 H 2.12
10 Zr 0.7978 0.2022 0.5000  1 H 2.43
11 Zr 0.1804 0.8196 0.1161  1 H 2.12
12 Zr 0.7022 0.7022 0.0000  1 H 2.43
13 Zr 0.2978 0.2978 0.0000  1 H 2.43
14 Zr 0.3196 0.3196 0.3839  1 H 2.12
15 Zr 0.1804 0.8196 0.8839  1 H 2.12
16 Zr 0.8196 0.1804 0.1161  1 H 2.12
17 Zr 0.3196 0.3196 0.6161  1 H 2.12
18 Zr 0.6804 0.6804 0.6161  1 H 2.12



# 10
First-principles (PBE-GGA) data for crystalline LiGaRu at its relaxed geometry, as listed in Alexandria.

## Properties
Space-group type: No. 107
E above lowest polymorph: 0.2665 eV per atom
Density: 6.7 Mg/m³
Formation energy from the elements: 0.067 eV per formula unit
Total energy: -4.717 eV/atom

Cell: 2.7125 2.7107 12.0650 Å, 90.00 90.00 90.00°
Closest atoms and distances in Å follow each position.
Element x y z (fractional)
1 Li 0.0000 0.0000 0.4852  4 Li 2.71, 4 Ru 2.80, 4 Ga 2.87
2 Li 0.5000 0.5000 0.9852  4 Li 2.71, 4 Ru 2.80, 4 Ga 2.87
3 Ru 0.5000 0.5000 0.3160  4 Ga 2.66, 4 Ru 2.71, 4 Li 2.80
4 Ru 0.0000 0.0000 0.8160  4 Ga 2.66, 4 Ru 2.71, 4 Li 2.80
5 Ga 0.0000 0.0000 0.1627  4 Ru 2.66, 4 Ga 2.71, 4 Li 2.87
6 Ga 0.5000 0.5000 0.6627  4 Ru 2.66, 4 Ga 2.71, 4 Li 2.87



# 11
First-principles (PBE-GGA) data for crystalline SrHg2Au2 at its relaxed geometry, as listed in Alexandria.

## Properties
Space-group type: No. 139
E above lowest polymorph: 0.0000 eV per atom
Density: 11.3 Mg/m³
Formation energy from the elements: -2.134 eV per formula unit
Total energy: -2.195 eV/atom

Cell: 4.4467 4.4467 7.2522 Å, 72.15 72.15 90.00°
Closest atoms and distances in Å follow each position.
Element x y z (fractional)
1 Hg 0.2500 0.7500 0.5000  4 Au 2.94, 4 Hg 3.14
2 Hg 0.7500 0.2500 0.5000  4 Au 2.94, 4 Hg 3.14
3 Au 0.6033 0.6033 0.7935  1 Au 2.70, 4 Hg 2.94
4 Au 0.3967 0.3967 0.2065  1 Au 2.70, 4 Hg 2.94
5 Sr 0.0000 0.0000 0.0000  8 Au 3.42



# 12
First-principles (PBE-GGA) data for crystalline PrSmCoBr at its relaxed geometry, as listed in Alexandria.

## Properties
Energy relative to the elements, uncorrected: -68.3 kJ per mole of atoms
Space-group type: No. 160
Density: 6.7 Mg/m³
Total energy: -5.277 eV/atom

Cell: 3.9688 3.9693 8.1986 Å, 90.01 104.03 120.00°
Closest atoms and distances in Å follow each position.
Element x y z (fractional)
1 Sm 0.0989 0.9476 0.0607  3 Co 2.73
2 Co 0.3064 0.5512 0.8726  3 Sm 2.73, 3 Pr 2.76
3 Pr 0.5095 0.1526 0.6778  3 Co 2.76
4 Br 0.9630 0.3794 0.3584  3 Sm 3.27-3.28, 3 Pr 3.40